# 1
Computed, not measured: a relaxed Li3Gd crystal at the PBE-GGA level of DFT.

Geometry as extended XYZ:
```
4
Lattice="4.482 0.000 0.000 0.000 4.482 0.000 -2.241 -2.241 4.746" Properties=species:S:1:pos:R:3 pbc="T T T"
Li 0.000 2.241 2.373
Gd 0.000 0.000 0.000
Li 2.241 2.241 0.000
Li 2.241 0.000 2.373
```

Calculated formation energy in eV/atom: 0.1902
Size of the total moment in μB/atom: 1.9351
V in Å³/cell: 95.33
Space-group type: I4/mmm (139)
Total DFT energy (no corrections) in eV for the cell shown: -19.06
DOS(E_F) in states/eV/cell: 4.98
Energy above the most stable polymorph in this dataset in meV/atom: 44

# 2
Computed, not measured: a relaxed Pm2ErCd3 crystal at the PBE-GGA level of DFT.

Geometry as extended XYZ:
```
6
Lattice="-2.082 0.574 -3.099 -1.392 -3.500 0.287 -8.590 3.949 6.505" Properties=species:S:1:pos:R:3 pbc="T T T"
Pm -3.202 -0.789 -0.297
Cd -2.960 1.361 2.242
Er -6.032 0.512 1.847
Cd -5.630 2.588 4.263
Cd 0.000 0.000 0.000
Pm -8.862 1.813 3.990
```

Calculated formation energy in eV/atom: -0.3139
Size of the total moment in μB/atom: 0.1674
V in Å³/cell: 163.73
Space-group type: P4/mmm (123)
Total DFT energy (no corrections) in eV for the cell shown: -18.69
DOS(E_F) in states/eV/cell: 6.72

# 3
Computed, not measured: a relaxed Cs2SrScCl6 crystal at the PBE-GGA level of DFT.

Geometry as extended XYZ:
```
20
Lattice="-1.981 -5.301 5.267 6.519 -3.890 -1.463 5.166 5.751 7.731" Properties=species:S:1:pos:R:3 pbc="T T T"
Sr 7.467 -0.039 2.770
Sr 0.645 -3.627 2.266
Sc 3.217 -0.745 6.135
Cs 5.193 -4.132 3.469
Cs 7.776 -1.257 7.334
Cl 6.122 -1.551 0.742
Cl 2.872 -3.257 0.503
Cl 8.829 1.463 4.793
Cl 4.449 0.622 7.974
Cl 1.834 -6.035 3.263
Cs 5.502 3.342 5.433
Cl 4.296 -2.932 7.040
Cl 4.937 -7.887 2.567
Cl 1.990 -2.115 4.294
Cl 5.239 -0.408 4.533
Cl 2.136 1.443 5.230
Cl 5.976 -5.108 -0.194
Cs 2.919 0.466 1.568
Cl 1.193 -1.080 7.736
Sc 4.895 -2.921 -1.099
```

Size of the total moment in μB/atom: 0.1005
V in Å³/cell: 653.50
Space-group type: Pmmn (59)
Total DFT energy (no corrections) in eV for the cell shown: -83.39
DOS(E_F) in states/eV/cell: 11.93
Energy relative to the elements, uncorrected in meV per atom: -2089

# 4
Computed, not measured: a relaxed Cs2KRbPd crystal at the PBE-GGA level of DFT.

Geometry as extended XYZ:
```
5
Lattice="7.071 0.000 0.000 0.000 7.071 0.000 0.000 0.000 6.694" Properties=species:S:1:pos:R:3 pbc="T T T"
K 0.000 0.000 3.347
Cs 3.536 0.000 0.000
Cs 0.000 3.536 0.000
Pd 0.000 0.000 0.000
Rb 3.536 3.536 3.347
```

Calculated formation energy in eV/atom: 0.0770
Size of the total moment in μB/atom: 0.0000
V in Å³/cell: 334.74
Space-group type: P4/mmm (123)
Total DFT energy (no corrections) in eV for the cell shown: -8.58
DOS(E_F) in states/eV/cell: 1.61
Energy above the most stable polymorph in this dataset in meV/atom: 0

# 5
Computed, not measured: a relaxed Nd3HoIn4 crystal at the PBE-GGA level of DFT.

Geometry as extended XYZ:
```
8
Lattice="3.652 0.000 0.000 0.000 7.090 -0.830 -1.826 -2.442 9.848" Properties=species:S:1:pos:R:3 pbc="T T T"
Nd 0.000 0.484 4.126
In 1.826 5.333 1.772
In 0.000 2.336 6.893
Nd 0.000 3.545 -0.415
Nd 1.826 4.164 4.892
Ho 1.826 0.000 0.000
In 0.000 -0.684 7.246
In 1.826 2.313 2.126
```

Calculated formation energy in eV/atom: -0.3090
Size of the total moment in μB/atom: 0.0459
V in Å³/cell: 247.57
Space-group type: Immm (71)
Total DFT energy (no corrections) in eV for the cell shown: -32.31
DOS(E_F) in states/eV/cell: 7.16
Energy above the most stable polymorph in this dataset in meV/atom: 179

# 6
Computed, not measured: a relaxed Nd2Ho5Er2 crystal at the PBE-GGA level of DFT.

Geometry as extended XYZ:
```
9
Lattice="3.409 0.000 -0.703 -0.483 7.817 -2.342 0.727 -2.942 12.138" Properties=species:S:1:pos:R:3 pbc="T T T"
Er 1.576 5.496 -0.972
Nd 2.879 4.240 5.343
Nd 0.773 0.635 3.750
Ho 2.220 5.520 2.150
Er 2.076 -0.621 10.065
Ho 1.432 -0.645 6.943
Ho 0.000 0.000 0.000
Ho 0.240 3.019 1.165
Ho 3.412 1.856 7.928
```

Calculated formation energy in eV/atom: 0.2296
Size of the total moment in μB/atom: 0.0001
V in Å³/cell: 302.97
Space-group type: C2/m (12)
Total DFT energy (no corrections) in eV for the cell shown: -39.48
DOS(E_F) in states/eV/cell: 12.95
Energy above the most stable polymorph in this dataset in meV/atom: 12

# 7
Computed, not measured: a relaxed Y2TiGe3Ir4 crystal at the PBE-GGA level of DFT.

Geometry as extended XYZ:
```
10
Lattice="4.109 0.000 0.000 0.000 4.109 0.000 0.000 0.000 10.799" Properties=species:S:1:pos:R:3 pbc="T T T"
Ir 0.000 2.055 3.865
Ir 2.055 0.000 6.934
Ge 0.000 2.055 1.407
Y 0.000 2.055 8.227
Ir 0.000 0.000 0.000
Ir 2.055 2.055 0.000
Y 2.055 0.000 2.572
Ge 0.000 0.000 5.399
Ti 2.055 2.055 5.399
Ge 2.055 0.000 9.392
```

Calculated formation energy in eV/atom: -0.8226
Size of the total moment in μB/atom: 0.0000
V in Å³/cell: 182.32
Space-group type: P-4m2 (115)
Total DFT energy (no corrections) in eV for the cell shown: -78.34
DOS(E_F) in states/eV/cell: 6.25

# 8
Computed, not measured: a relaxed CaTl2CdCo crystal at the PBE-GGA level of DFT.

Geometry as extended XYZ:
```
5
Lattice="-3.782 -0.253 -3.313 3.331 -0.768 -3.744 -0.315 -4.970 0.739" Properties=species:S:1:pos:R:3 pbc="T T T"
Tl -0.157 -2.485 0.370
Co 0.000 0.000 0.000
Ca -0.383 -2.996 -3.159
Cd 1.666 -0.384 -1.872
Tl -1.891 -0.127 -1.656
```

Calculated formation energy in eV/atom: 0.0388
Size of the total moment in μB/atom: 0.0006
V in Å³/cell: 128.50
Space-group type: P4/mmm (123)
Total DFT energy (no corrections) in eV for the cell shown: -14.56
DOS(E_F) in states/eV/cell: 4.13

# 9
Computed, not measured: a relaxed Hg6AuF12 crystal at the PBE-GGA level of DFT.

Geometry as extended XYZ:
```
19
Lattice="-2.140 3.443 -5.712 2.361 -5.955 -2.833 -6.124 -2.119 2.658" Properties=species:S:1:pos:R:3 pbc="T T T"
F -2.453 -4.618 -3.253
F -0.010 -5.925 -2.114
F -3.450 -0.013 -2.633
F 0.259 -3.414 -6.237
Hg -0.710 -3.731 -1.712
Au 0.000 0.000 0.000
F -2.873 -3.170 -0.727
F -5.893 1.294 -3.772
F -4.297 -5.670 0.107
Hg -4.461 -4.625 -1.978
F -5.231 -2.326 -2.271
Hg -1.912 -3.549 -5.381
Hg -3.991 -1.082 -0.505
F -1.606 1.039 -5.993
F -0.672 -2.305 -3.616
F -3.030 -1.461 -5.159
F -6.163 -1.217 0.351
Hg -5.193 -0.900 -4.175
Hg -1.442 -0.006 -3.908
```

Size of the total moment in μB/atom: 0.0000
V in Å³/cell: 321.72
Space-group type: R-3 (148)
Total DFT energy (no corrections) in eV for the cell shown: -51.40
DOS(E_F) in states/eV/cell: 4.23
Energy relative to the elements, uncorrected in meV per atom: -1255

# 10
Computed, not measured: a relaxed NdCuNi crystal at the PBE-GGA level of DFT.

Geometry as extended XYZ:
```
6
Lattice="3.998 0.000 0.000 0.000 3.998 -0.063 -1.999 -1.878 7.315" Properties=species:S:1:pos:R:3 pbc="T T T"
Cu 0.000 -0.006 0.026
Nd 0.000 2.035 2.414
Ni 1.999 0.019 1.289
Ni 1.999 2.074 4.900
Cu 1.999 0.055 3.668
Nd 0.000 0.095 6.087
```

Calculated formation energy in eV/atom: -0.2556
Size of the total moment in μB/atom: 0.0000
V in Å³/cell: 116.44
Space-group type: I4_1md (109)
Total DFT energy (no corrections) in eV for the cell shown: -30.82
DOS(E_F) in states/eV/cell: 4.27

# 11
Computed, not measured: a relaxed TbDyTh2 crystal at the PBE-GGA level of DFT.

Geometry as extended XYZ:
```
8
Lattice="8.801 5.731 2.016 -8.801 5.731 2.016 0.000 1.470 3.216" Properties=species:S:1:pos:R:3 pbc="T T T"
Th -1.471 8.518 4.701
Th 1.471 7.783 3.093
Th 1.471 4.413 2.548
Th -1.471 5.148 4.156
Tb 4.400 2.865 1.008
Dy -7.254 6.833 4.429
Tb -4.400 3.600 2.616
Dy 7.254 6.098 2.820
```

Calculated formation energy in eV/atom: 0.2921
Size of the total moment in μB/atom: 0.0000
V in Å³/cell: 272.27
Space-group type: C2/c (15)
Total DFT energy (no corrections) in eV for the cell shown: -45.81
DOS(E_F) in states/eV/cell: 14.03
Energy above the most stable polymorph in this dataset in meV/atom: 263

# 12
Computed, not measured: a relaxed LiCr2In crystal at the PBE-GGA level of DFT.

Geometry as extended XYZ:
```
4
Lattice="-0.713 8.769 -3.682 -2.988 8.910 -1.630 -0.106 9.506 -0.768" Properties=species:S:1:pos:R:3 pbc="T T T"
Cr -1.904 13.598 -3.041
In -0.952 6.796 -1.520
Cr -3.806 27.179 -6.079
Li -2.855 20.388 -4.560
```

Calculated formation energy in eV/atom: 0.6766
Size of the total moment in μB/atom: 1.9805
V in Å³/cell: 76.33
Space-group type: R-3m (166)
Total DFT energy (no corrections) in eV for the cell shown: -21.19
DOS(E_F) in states/eV/cell: 2.60

# 13
Computed, not measured: a relaxed Dy5Bi5Sb crystal at the PBE-GGA level of DFT.

Geometry as extended XYZ:
```
11
Lattice="-1.997 -5.733 1.315 0.971 1.303 -7.515 7.922 -1.992 3.347" Properties=species:S:1:pos:R:3 pbc="T T T"
Bi 1.482 -1.457 -4.102
Bi 5.414 -4.965 1.249
Sb 0.000 0.000 0.000
Dy 6.648 -2.202 0.495
Dy -0.999 -2.867 0.658
Dy 0.248 -4.220 -3.349
Dy 4.302 -5.248 -1.672
Bi 3.961 -0.996 1.673
Dy 2.593 -1.174 -1.181
Bi 1.695 -4.050 -0.410
Bi 5.201 -2.372 -2.443
```

Size of the total moment in μB/atom: 0.0000
V in Å³/cell: 365.02
Space-group type: C2/m (12)
Total DFT energy (no corrections) in eV for the cell shown: -53.88
DOS(E_F) in states/eV/cell: 5.56
Energy relative to the elements, uncorrected in meV per atom: -668

# 14
Computed, not measured: a relaxed LiGeSbI2 crystal at the PBE-GGA level of DFT.

Geometry as extended XYZ:
```
5
Lattice="5.905 0.000 0.000 0.000 5.609 0.000 0.000 0.000 5.905" Properties=species:S:1:pos:R:3 pbc="T T T"
Li 2.953 2.805 2.953
I 0.000 0.000 2.953
I 2.953 0.000 0.000
Ge 0.000 0.000 0.000
Sb 0.000 2.805 0.000
```

Size of the total moment in μB/atom: 0.2948
V in Å³/cell: 195.60
Space-group type: P4/mmm (123)
Total DFT energy (no corrections) in eV for the cell shown: -13.43
DOS(E_F) in states/eV/cell: 2.17
Energy above the most stable polymorph in this dataset in meV/atom: 0
Energy relative to the elements, uncorrected in meV per atom: 64

# 15
Computed, not measured: a relaxed MgAu3Br crystal at the PBE-GGA level of DFT.

Geometry as extended XYZ:
```
5
Lattice="-3.230 1.870 -3.622 1.608 -3.663 -3.324 -3.746 -3.184 1.697" Properties=species:S:1:pos:R:3 pbc="T T T"
Au 0.804 -1.831 -1.662
Au -1.873 -1.592 0.848
Mg -2.684 -2.488 -2.625
Au -1.615 0.935 -1.811
Br 0.000 0.000 0.000
```

Size of the total moment in μB/atom: 0.0000
V in Å³/cell: 140.69
Space-group type: Pm-3m (221)
Total DFT energy (no corrections) in eV for the cell shown: -9.34
DOS(E_F) in states/eV/cell: 5.14
Energy above the most stable polymorph in this dataset in meV/atom: 244
Energy relative to the elements, uncorrected in meV per atom: 752

# 16
Computed, not measured: a relaxed LiHSeN2 crystal at the PBE-GGA level of DFT.

Geometry as extended XYZ:
```
5
Lattice="-2.148 -1.308 -2.312 2.500 -2.001 -1.191 -1.281 -3.481 3.159" Properties=species:S:1:pos:R:3 pbc="T T T"
N 1.250 -1.000 -0.596
H -0.465 -3.395 -0.172
Se -0.640 -1.740 1.580
Li 0.000 0.000 0.000
N -1.074 -0.654 -1.156
```

Size of the total moment in μB/atom: 0.1035
V in Å³/cell: 56.87
Space-group type: P4/mmm (123)
Total DFT energy (no corrections) in eV for the cell shown: -15.03
DOS(E_F) in states/eV/cell: 3.58
Energy above the most stable polymorph in this dataset in meV/atom: 531

# 17
Computed, not measured: a relaxed Tb2PrTlC crystal at the PBE-GGA level of DFT.

Geometry as extended XYZ:
```
5
Lattice="-2.776 4.201 -1.155 -2.887 -0.818 3.962 3.039 2.774 2.787" Properties=species:S:1:pos:R:3 pbc="T T T"
Tb 1.519 1.387 1.393
Pr -1.388 2.100 -0.578
C 0.000 0.000 0.000
Tb -1.443 -0.409 1.981
Tl -1.312 3.079 2.797
```

Calculated formation energy in eV/atom: -0.3560
Size of the total moment in μB/atom: 0.0000
V in Å³/cell: 127.58
Space-group type: P4/mmm (123)
Total DFT energy (no corrections) in eV for the cell shown: -27.41
DOS(E_F) in states/eV/cell: 2.17

# 18
Computed, not measured: a relaxed Tb4HoSc4 crystal at the PBE-GGA level of DFT.

Geometry as extended XYZ:
```
9
Lattice="-0.404 0.436 4.793 -7.429 -0.293 1.833 0.254 -7.000 3.092" Properties=species:S:1:pos:R:3 pbc="T T T"
Sc -5.230 0.095 4.417
Tb -2.628 -2.102 4.837
Sc -2.349 -6.952 5.302
Ho 0.000 0.000 0.000
Sc -7.528 -4.676 7.091
Tb -5.310 -2.059 7.040
Sc -0.051 -2.181 2.628
Tb -2.269 -4.798 2.679
Tb -4.951 -4.755 4.882
```

Calculated formation energy in eV/atom: 0.0524
Size of the total moment in μB/atom: 0.0000
V in Å³/cell: 255.02
Space-group type: I4/mmm (139)
Total DFT energy (no corrections) in eV for the cell shown: -47.95
DOS(E_F) in states/eV/cell: 13.92

# 19
Computed, not measured: a relaxed BaCa2NbB crystal at the PBE-GGA level of DFT.

Geometry as extended XYZ:
```
5
Lattice="-2.126 -3.403 -3.856 -2.424 -3.267 4.220 -4.599 3.125 -0.222" Properties=species:S:1:pos:R:3 pbc="T T T"
B -4.575 -1.773 0.071
Ca -1.063 -1.702 -1.928
Ba -1.212 -1.634 2.110
Ca -2.300 1.562 -0.111
Nb 0.000 0.000 0.000
```

Calculated formation energy in eV/atom: 1.6659
Size of the total moment in μB/atom: 0.0000
V in Å³/cell: 181.54
Space-group type: P4/mmm (123)
Total DFT energy (no corrections) in eV for the cell shown: -14.34
DOS(E_F) in states/eV/cell: 6.27

# 20
Computed, not measured: a relaxed YSc3Tc crystal at the PBE-GGA level of DFT.

Geometry as extended XYZ:
```
5
Lattice="5.066 0.000 0.000 0.000 5.066 0.000 0.000 0.000 5.066" Properties=species:S:1:pos:R:3 pbc="T T T"
Sc 0.000 0.000 2.533
Sc 2.533 0.000 0.000
Sc 0.000 2.533 0.000
Y 2.533 2.533 2.533
Tc 0.000 0.000 0.000
```

Calculated formation energy in eV/atom: 0.0382
Size of the total moment in μB/atom: 0.0000
V in Å³/cell: 130.05
Space-group type: Pm-3m (221)
Total DFT energy (no corrections) in eV for the cell shown: -35.63
DOS(E_F) in states/eV/cell: 6.89
Energy above the most stable polymorph in this dataset in meV/atom: 61